No. 1
First-principles (PBE) data for Pr6RhSe2S3 after structural relaxation, as listed in Alexandria via LeMat-Bulk.

Structure (POSCAR):
```
Pr6RhSe2S3
1.0
-1.858 -1.207 3.486
-4.384 -5.776 -4.335
8.485 -3.937 0.713
Pr Se S Rh
6 2 3 1
direct
0.337 0.408 0.675
0.666 0.074 0.331
0.998 0.240 0.995
0.334 0.926 0.669
0.002 0.760 0.005
0.663 0.592 0.325
0.832 0.664 0.665
0.168 0.336 0.335
0.831 0.166 0.662
0.500 0.500 0.000
0.169 0.834 0.338
0.500 0.000 0.000
```

**Space group**: C2/m (12)
**E_tot**: -75.940 eV per cell
**D(E_F)**: 5.30 states/eV/cell
**Formation energy from raw total energies**: -1713 meV per atom

No. 2
First-principles (PBE) data for TlIn6Hg6 after structural relaxation, as listed in Alexandria via LeMat-Bulk.

Structure (POSCAR):
```
TlIn6Hg6
1.0
6.492 -0.009 0.000
-3.253 5.618 0.000
0.000 0.000 10.031
In Tl Hg
6 1 6
direct
0.000 0.500 0.750
0.500 0.500 0.251
0.000 0.500 0.250
0.500 0.000 0.750
0.500 0.500 0.749
0.500 0.000 0.250
0.000 0.000 0.000
0.667 0.333 0.500
0.666 0.334 0.000
0.000 0.000 0.348
0.334 0.666 0.000
0.333 0.667 0.500
0.000 0.000 0.652
```

**Space group**: Cmmm (65)
**E_tot**: -20.091 eV per cell
**Calculated formation energy**: 0.040 eV per atom
**ΔE to the lowest computed polymorph**: 4.0 meV/atom
**D(E_F)**: 5.86 states/eV/cell

No. 3
First-principles (PBE) data for Rb2GaSn after structural relaxation, as listed in Alexandria via LeMat-Bulk.

Structure (POSCAR):
```
Rb2GaSn
1.0
0.000 4.321 4.321
4.321 0.000 4.321
4.321 4.321 0.000
Ga Sn Rb
1 1 2
direct
0.000 0.000 0.000
0.500 0.500 0.500
0.750 0.750 0.750
0.250 0.250 0.250
```

**Space group**: Fm-3m (225)
**E_tot**: -8.063 eV per cell
**Calculated formation energy**: 0.225 eV per atom
**ΔE to the lowest computed polymorph**: 375.7 meV/atom
**D(E_F)**: 3.32 states/eV/cell

No. 4
First-principles (PBE) data for Ag6HgAu2 after structural relaxation, as listed in Alexandria via LeMat-Bulk.

Structure (POSCAR):
```
Ag6HgAu2
1.0
5.037 -0.288 -0.279
1.642 8.170 0.933
1.642 1.197 8.135
Ag Au Hg
12 4 2
direct
0.468 0.677 0.433
0.197 0.988 0.243
0.357 0.898 0.650
0.803 0.012 0.757
0.643 0.102 0.350
0.532 0.323 0.567
0.143 0.350 0.102
0.968 0.433 0.677
0.697 0.243 0.988
0.857 0.650 0.898
0.303 0.757 0.012
0.032 0.567 0.323
0.412 0.539 0.791
0.912 0.791 0.539
0.088 0.209 0.461
0.588 0.461 0.209
0.750 0.873 0.127
0.250 0.127 0.873
```

**Space group**: C2/c (15)
**E_tot**: -47.388 eV per cell
**Calculated formation energy**: 0.030 eV per atom
**ΔE to the lowest computed polymorph**: 0.0 meV/atom
**D(E_F)**: 3.76 states/eV/cell

| no. | total moment (μB per atom) |
| --- | --- |
| 1 | 0.00 |
| 2 | 0.00 |
| 3 | 0.22 |
| 4 | 0.00 |